No. 1
Pu2PaZn | GGA-PBE | relaxed

Values from the calculation:
The energy above the most stable polymorph in this dataset comes out at 0.000 eV per atom.

Unit cell a=3.417 b=3.417 c=7.883 alpha=90.00 beta=90.00 gamma=90.00
Space group P4/mmm (No. 123)
Asymmetric unit:
Pu  0.000  0.000  0.241 [2 per cell]
Pa  0.500  0.500  0.500 [1 per cell]
Zn  0.500  0.500  0.000 [1 per cell]

No. 2
MgGa | GGA-PBE | relaxed

Unit cell a=3.090 b=5.330 c=4.847 alpha=90.00 beta=90.00 gamma=90.00
Space group Pmmn (No. 59, origin choice 2)
Asymmetric unit:
Mg  0.250  0.250  0.102 [2 per cell]
Ga  0.250  0.750  0.406 [2 per cell]

No. 3
KTiCl3 | GGA-PBE | relaxed

Values from the calculation:
Its formation energy (no corrections) is -1649 meV per atom.

Unit cell a=12.6763 b=12.6763 c=5.5798 alpha=90.00 beta=90.00 gamma=120.00
Space group P6_3 (No. 173)
Asymmetric unit:
K  0.0046  0.3333  0.0000 [6 per cell]
Ti  0.0000  0.0000  0.2335 [2 per cell]
Ti  0.3333  0.6667  0.2850 [2 per cell]
Ti  0.3333  0.6667  0.7360 [2 per cell]
Cl  0.0368  0.8551  0.9834 [6 per cell]
Cl  0.1559  0.6266  0.0109 [6 per cell]
Cl  0.1890  0.4793  0.5105 [6 per cell]

No. 4
Ac5Mg4Al4 | GGA-PBE | relaxed

Unit cell a=12.779 b=12.779 c=4.796 alpha=90.00 beta=90.00 gamma=90.00
Space group I4/m (No. 87)
Asymmetric unit:
Ac  0.000  0.000  0.000 [2 per cell]
Ac  0.134  0.206  0.500 [8 per cell]
Mg  0.074  0.603  0.500 [8 per cell]
Al  0.052  0.738  0.000 [8 per cell]

No. 5
PaCu2Pt5 | GGA-PBE | relaxed

Unit cell a=4.173 b=4.173 c=14.763 alpha=90.00 beta=90.00 gamma=90.00
Space group I4/mmm (No. 139)
Asymmetric unit:
Pa  0.000  0.000  0.000 [2 per cell]
Cu  0.000  0.000  0.253 [4 per cell]
Pt  0.000  0.000  0.500 [2 per cell]
Pt  0.000  0.500  0.136 [8 per cell]

No. 6
SiTeMo | GGA-PBE | relaxed

Values from the calculation:
Its formation energy (no corrections) is 201 meV per atom. The energy above the most stable polymorph in this dataset comes out at 0.120 eV per atom.

Unit cell a=3.297 b=3.335 c=11.658 alpha=90.00 beta=90.00 gamma=90.00
Space group Amm2 (No. 38)
Asymmetric unit:
Si  0.000  0.000  0.000 [2 per cell]
Te  0.000  0.000  0.759 [2 per cell]
Mo  0.500  0.000  0.577 [2 per cell]

No. 7
KRhSe2 | GGA-PBE | relaxed

Values from the calculation:
Its formation energy (no corrections) is -619 meV per atom.

Unit cell a=5.528 b=6.764 c=6.765 alpha=112.56 beta=101.88 gamma=102.02
Space group P-1 (No. 2)
Asymmetric unit:
K  0.249  0.371  0.130 [2 per cell]
Rh  0.250  0.003  0.497 [2 per cell]
Se  0.096  0.328  0.579 [2 per cell]
Se  0.405  0.922  0.173 [2 per cell]

No. 8
HgIr2W | GGA-PBE | relaxed

Unit cell a=4.074 b=4.074 c=7.743 alpha=90.00 beta=90.00 gamma=90.00
Space group I4/mmm (No. 139)
Asymmetric unit:
Hg  0.000  0.000  0.000 [2 per cell]
Ir  0.000  0.500  0.250 [4 per cell]
W  0.000  0.000  0.500 [2 per cell]

No. 9
Li2MoI | GGA-PBE | relaxed

Values from the calculation:
Its formation energy (no corrections) is 681 meV per atom. The energy above the most stable polymorph in this dataset comes out at 0.000 eV per atom.

Unit cell a=7.628 b=7.628 c=5.290 alpha=90.00 beta=90.00 gamma=90.00
Space group I-42d (No. 122)
Asymmetric unit:
Li  0.236  0.750  0.125 [8 per cell]
Mo  0.000  0.000  0.500 [4 per cell]
I  0.000  0.000  0.000 [4 per cell]

No. 10
YAs2W | GGA-PBE | relaxed

Values from the calculation:
The energy above the most stable polymorph in this dataset comes out at 0.606 eV per atom.

Unit cell a=3.3110 b=3.3110 c=26.1951 alpha=90.00 beta=90.00 gamma=120.00
Space group R3m (No. 160, hexagonal axes)
Asymmetric unit:
Y  0.0000  0.0000  0.0000 [3 per cell]
As  0.0000  0.0000  0.5109 [3 per cell]
As  0.0000  0.0000  0.7559 [3 per cell]
W  0.0000  0.0000  0.2418 [3 per cell]

No. 11
PmSmNb2O8 | GGA-PBE | relaxed

Values from the calculation:
Its formation energy (no corrections) is -3075 meV per atom.

Unit cell a=5.343 b=5.343 c=11.417 alpha=90.00 beta=90.00 gamma=90.00
Space group I-4 (No. 82)
Asymmetric unit:
Pm  0.000  0.000  0.000 [2 per cell]
Sm  0.000  0.500  0.250 [2 per cell]
Nb  0.000  0.000  0.500 [2 per cell]
Nb  0.000  0.500  0.750 [2 per cell]
O  0.168  0.250  0.412 [8 per cell]
O  0.169  0.750  0.838 [8 per cell]

No. 12
Na5As2Pd | GGA-PBE | relaxed

Unit cell a=5.0504 b=5.0504 c=18.0232 alpha=90.00 beta=90.00 gamma=120.00
Space group P6_3/mmc (No. 194)
Asymmetric unit:
Na  0.0000  0.0000  0.1518 [4 per cell]
Na  0.3333  0.6667  0.0505 [4 per cell]
Na  0.3333  0.6667  0.2500 [2 per cell]
As  0.3333  0.6667  0.6161 [4 per cell]
Pd  0.3333  0.6667  0.7500 [2 per cell]

No. 13
MgPaSb | GGA-PBE | relaxed

Values from the calculation:
Its formation energy (no corrections) is -77 meV per atom. The energy above the most stable polymorph in this dataset comes out at 0.000 eV per atom.

Unit cell a=4.7915 b=4.7915 c=3.7698 alpha=90.00 beta=90.00 gamma=120.00
Space group P3m1 (No. 156)
Asymmetric unit:
Mg  0.0000  0.0000  0.0000 [1 per cell]
Pa  0.3333  0.6667  0.5011 [1 per cell]
Sb  0.6667  0.3333  0.0017 [1 per cell]

No. 14
MgZnTcNi | GGA-PBE | relaxed

Unit cell a=6.126 b=6.126 c=6.126 alpha=90.00 beta=90.00 gamma=90.00
Space group F-43m (No. 216)
Asymmetric unit:
Mg  0.000  0.000  0.000 [4 per cell]
Zn  0.250  0.250  0.750 [4 per cell]
Tc  0.000  0.000  0.500 [4 per cell]
Ni  0.250  0.250  0.250 [4 per cell]

No. 15
Ba2CuPPd6 | GGA-PBE | relaxed

Unit cell a=6.512 b=6.521 c=6.531 alpha=64.16 beta=64.06 gamma=63.95
Space group P-1 (No. 2)
Asymmetric unit:
Ba  0.210  0.209  0.209 [2 per cell]
Cu  0.000  0.000  0.000 [1 per cell]
P  0.500  0.500  0.500 [1 per cell]
Pd  0.252  0.658  0.253 [2 per cell]
Pd  0.253  0.252  0.658 [2 per cell]
Pd  0.341  0.747  0.748 [2 per cell]

No. 16
YTh4 | GGA-PBE | relaxed

Values from the calculation:
The energy above the most stable polymorph in this dataset comes out at 1.004 eV per atom.

Unit cell a=5.689 b=5.689 c=5.689 alpha=90.00 beta=90.00 gamma=90.00
Space group Pm-3m (No. 221)
Asymmetric unit:
Y  0.000  0.000  0.000 [1 per cell]
Th  0.000  0.000  0.500 [3 per cell]
Th  0.500  0.500  0.500 [1 per cell]

No. 17
TiPb2SeBr | GGA-PBE | relaxed

Values from the calculation:
Its formation energy (no corrections) is 762 meV per atom.

Unit cell a=5.693 b=5.693 c=5.241 alpha=90.00 beta=90.00 gamma=90.00
Space group P4/mmm (No. 123)
Asymmetric unit:
Ti  0.000  0.000  0.000 [1 per cell]
Pb  0.000  0.500  0.500 [2 per cell]
Se  0.500  0.500  0.500 [1 per cell]
Br  0.500  0.500  0.000 [1 per cell]

No. 18
Hf3BiIr | GGA-PBE | relaxed

Values from the calculation:
The energy above the most stable polymorph in this dataset comes out at 1.791 eV per atom.

Unit cell a=5.203 b=5.203 c=5.203 alpha=90.00 beta=90.00 gamma=90.00
Space group Pm-3m (No. 221)
Asymmetric unit:
Hf  0.000  0.000  0.500 [3 per cell]
Bi  0.000  0.000  0.000 [1 per cell]
Ir  0.500  0.500  0.500 [1 per cell]

No. 19
YZn2Ir | GGA-PBE | relaxed

Unit cell a=4.168 b=4.168 c=8.006 alpha=90.00 beta=90.00 gamma=90.00
Space group I4/mmm (No. 139)
Asymmetric unit:
Y  0.000  0.000  0.000 [2 per cell]
Zn  0.000  0.500  0.250 [4 per cell]
Ir  0.000  0.000  0.500 [2 per cell]

No. 20
MnAl2Pb | GGA-PBE | relaxed

Unit cell a=8.952 b=3.210 c=5.618 alpha=90.00 beta=103.05 gamma=90.00
Space group Cm (No. 8)
Asymmetric unit:
Mn  0.000  0.000  0.000 [2 per cell]
Al  0.235  0.500  0.156 [2 per cell]
Al  0.480  0.000  0.369 [2 per cell]
Pb  0.245  0.000  0.683 [2 per cell]

No. 21
Pu2GaSb4 | GGA-PBE | relaxed

Values from the calculation:
Its formation energy (no corrections) is -428 meV per atom.

Unit cell a=4.404 b=4.404 c=9.621 alpha=90.00 beta=90.00 gamma=90.00
Space group P-4m2 (No. 115)
Asymmetric unit:
Pu  0.000  0.500  0.247 [2 per cell]
Ga  0.500  0.500  0.000 [1 per cell]
Sb  0.000  0.000  0.500 [1 per cell]
Sb  0.000  0.500  0.828 [2 per cell]
Sb  0.500  0.500  0.500 [1 per cell]

No. 22
Cu3NiPd6 | GGA-PBE | relaxed

Values from the calculation:
The energy above the most stable polymorph in this dataset comes out at 0.134 eV per atom.

Unit cell a=8.324 b=14.581 c=4.813 alpha=90.00 beta=90.00 gamma=90.00
Space group Cmc2_1 (No. 36)
Asymmetric unit:
Cu  0.000  0.110  0.000 [4 per cell]
Cu  0.153  0.390  0.713 [8 per cell]
Ni  0.000  0.276  0.976 [4 per cell]
Pd  0.000  0.194  0.467 [4 per cell]
Pd  0.000  0.442  0.223 [4 per cell]
Pd  0.170  0.036  0.587 [8 per cell]
Pd  0.240  0.298  0.288 [8 per cell]

No. 23
SrTiInOs2 | GGA-PBE | relaxed

Unit cell a=4.766 b=4.766 c=5.372 alpha=90.00 beta=90.00 gamma=90.00
Space group P4/mmm (No. 123)
Asymmetric unit:
Sr  0.000  0.000  0.000 [1 per cell]
Ti  0.500  0.500  0.500 [1 per cell]
In  0.500  0.500  0.000 [1 per cell]
Os  0.000  0.500  0.500 [2 per cell]

No. 24
AgF3 | GGA-PBE | relaxed

Values from the calculation:
Its formation energy (no corrections) is -685 meV per atom. The energy above the most stable polymorph in this dataset comes out at 0.324 eV per atom.

Unit cell a=3.214 b=4.730 c=6.824 alpha=90.00 beta=90.00 gamma=90.00
Space group Immm (No. 71)
Asymmetric unit:
Ag  0.000  0.000  0.000 [2 per cell]
F  0.000  0.000  0.500 [2 per cell]
F  0.000  0.500  0.306 [4 per cell]

The following VASP energy values (in eV for the cell shown) correspond, in order, to the records above: -39.2, -9.6, -136.7, -88.7, -105.6, -37.6, -35.8, -59.7, -53.9, -84.1, -212.3, -48.8, -15.4, -74.6, -49.4, -30.9, -16.7, -33.9, -39.1, -38.7, -51.2, -193.1, -30.7, -22.4.